No. 1
Ge2BiI: optimized geometry, PBE.

```
Ge2BiI
1.0
2.314 -2.128 4.285
-0.237 2.517 4.674
-2.986 -1.969 3.930
Bi Ge I
1 2 1
direct
0.500 0.500 0.500 Bi
0.750 0.750 0.750 Ge
0.250 0.250 0.250 Ge
0.000 0.000 0.000 I
```

As for the crystal system: cubic. The space group is Fm-3m, No. 225. Its total energy is -13.2 eV per cell. For the total magnetic moment, the calculation gives 0.00 μB per cell. Its formation energy without anion corrections is 369 meV/atom.

No. 2
Sr2GaO: optimized geometry, PBE.

```
Sr2GaO
1.0
3.710 0.000 0.000
1.855 3.213 0.000
1.855 1.071 9.341
Sr Ga O
2 1 1
direct
0.114 0.114 0.659 Sr
0.886 0.886 0.341 Sr
0.000 0.000 0.000 Ga
0.500 0.500 0.500 O
```

As for the crystal system: trigonal. The space group is R-3m, No. 166. Its total energy is -15.5 eV per cell. For the total magnetic moment, the calculation gives 0.47 μB per cell. Its formation energy without anion corrections is -1047 meV/atom.

No. 3
TmScAl2: optimized geometry, PBE.

```
TmScAl2
1.0
3.468 0.000 0.000
0.000 3.468 0.000
0.000 0.000 6.911
Al Sc Tm
2 1 1
direct
0.000 0.000 0.232 Al
0.000 0.000 0.768 Al
0.500 0.500 0.000 Sc
0.500 0.500 0.500 Tm
```

As for the crystal system: tetragonal. The space group is P4/mmm, No. 123. Its total energy is -19.9 eV per cell. For the total magnetic moment, the calculation gives 0.00 μB per cell. The calculation puts the formation energy at -1.66 eV/f.u.

No. 4
FeCu2As: optimized geometry, PBE.

```
FeCu2As
1.0
-3.496 1.117 -0.213
-0.529 -1.194 2.420
0.997 3.821 3.672
Fe As Cu
1 1 2
direct
0.000 0.549 0.527 Fe
0.500 0.957 0.710 As
0.000 0.798 0.028 Cu
0.500 0.195 0.236 Cu
```

As for the crystal system: orthorhombic. The space group is Amm2, No. 38. Its total energy is -20.8 eV per cell. For the total magnetic moment, the calculation gives 2.08 μB per cell. The calculation puts the formation energy at 0.52 eV/f.u.

No. 5
Pm12Dy3Sc: optimized geometry, PBE.

```
Pm12Dy3Sc
1.0
-4.125 -1.865 2.355
-1.198 -2.647 -4.195
10.992 -15.739 6.793
Pm Sc Dy
12 1 3
direct
0.500 0.500 0.247 Pm
0.000 0.500 0.879 Pm
0.500 0.000 0.879 Pm
0.000 0.500 0.374 Pm
0.500 0.000 0.374 Pm
0.500 0.500 0.500 Pm
0.000 0.500 0.626 Pm
0.500 0.000 0.626 Pm
0.500 0.000 0.121 Pm
0.000 0.500 0.121 Pm
0.500 0.500 0.000 Pm
0.500 0.500 0.753 Pm
0.000 0.000 0.000 Sc
0.000 0.000 0.500 Dy
0.000 0.000 0.752 Dy
0.000 0.000 0.248 Dy
```

As for the crystal system: tetragonal. The space group is P4/mmm, No. 123. Its total energy is -76.8 eV per cell. For the total magnetic moment, the calculation gives 0.00 μB per cell. The calculation puts the formation energy at 0.34 eV/f.u.

No. 6
Ca2Sb2F: optimized geometry, PBE.

```
Ca2Sb2F
1.0
-3.929 -1.312 -5.773
3.645 -5.995 -1.119
-3.321 -2.549 2.839
Sb Ca F
4 4 2
direct
0.141 0.641 0.500 Sb
0.359 0.141 0.500 Sb
0.859 0.359 0.500 Sb
0.641 0.859 0.500 Sb
0.180 0.320 0.000 Ca
0.820 0.680 0.000 Ca
0.320 0.820 0.000 Ca
0.680 0.180 0.000 Ca
0.500 0.500 0.000 F
0.000 0.000 0.000 F
```

As for the crystal system: tetragonal. The space group is P4/mbm, No. 127. Its total energy is -42.8 eV per cell. For the total magnetic moment, the calculation gives 0.00 μB per cell. Its formation energy without anion corrections is -1461 meV/atom.

No. 7
Nd2In3Hg3: optimized geometry, PBE.

```
Nd2In3Hg3
1.0
4.712 0.000 0.000
0.000 4.686 0.000
0.000 0.000 9.366
Nd In Hg
2 3 3
direct
0.000 0.000 0.248 Nd
0.000 0.000 0.752 Nd
0.500 0.000 0.500 In
0.000 0.500 0.000 In
0.000 0.500 0.500 In
0.500 0.000 0.000 Hg
0.500 0.500 0.744 Hg
0.500 0.500 0.256 Hg
```

As for the crystal system: orthorhombic. The space group is Pmmm, No. 47. Its total energy is -22.0 eV per cell. For the total magnetic moment, the calculation gives 0.00 μB per cell. The calculation puts the formation energy at -3.31 eV/f.u.

No. 8
CsSr2MnI8: optimized geometry, PBE.

```
CsSr2MnI8
1.0
-5.106 1.583 5.971
-1.069 -6.997 1.563
7.688 0.291 6.478
I Cs Sr Mn
8 1 2 1
direct
0.338 0.247 0.999 I
0.137 0.773 0.814 I
0.863 0.227 0.186 I
0.730 0.590 0.500 I
0.270 0.410 0.500 I
0.861 0.225 0.814 I
0.662 0.753 0.001 I
0.139 0.775 0.186 I
0.000 0.000 0.500 Cs
0.500 0.500 0.766 Sr
0.500 0.500 0.234 Sr
0.000 0.000 0.000 Mn
```

As for the crystal system: triclinic. The space group is P-1, No. 2. Its total energy is -39.4 eV per cell. For the total magnetic moment, the calculation gives 4.00 μB per cell. Its formation energy without anion corrections is -1137 meV/atom.

No. 9
TmHg4: optimized geometry, PBE.

```
TmHg4
1.0
0.652 4.308 2.729
4.142 0.822 2.556
4.223 4.055 -2.566
Tm Hg
1 4
direct
0.000 0.000 0.000 Tm
0.202 0.207 0.389 Hg
0.798 0.793 0.611 Hg
0.599 0.596 0.206 Hg
0.401 0.404 0.794 Hg
```

As for the crystal system: monoclinic. The space group is C2/m, No. 12. Its total energy is -6.6 eV per cell. For the total magnetic moment, the calculation gives 0.00 μB per cell. The calculation puts the formation energy at -0.89 eV/f.u.

No. 10
TeSeN2: optimized geometry, PBE.

```
TeSeN2
1.0
1.947 0.000 6.528
-0.974 1.686 6.528
-0.974 -1.686 6.528
Te N Se
1 2 1
direct
0.500 0.500 0.500 Te
0.894 0.894 0.894 N
0.106 0.106 0.106 N
0.000 0.000 0.000 Se
```

As for the crystal system: trigonal. The space group is R-3m, No. 166. Its total energy is -18.8 eV per cell. For the total magnetic moment, the calculation gives 0.00 μB per cell. Its formation energy without anion corrections is 1130 meV/atom.

No. 11
DyY5Hg6: optimized geometry, PBE.

```
DyY5Hg6
1.0
4.987 -0.030 1.662
0.040 7.468 0.013
-0.009 -0.015 8.341
Hg Y Dy
6 5 1
direct
0.166 0.750 0.667 Hg
0.500 0.751 0.000 Hg
0.166 0.250 0.667 Hg
0.834 0.250 0.333 Hg
0.834 0.750 0.333 Hg
0.500 0.249 0.000 Hg
0.333 0.500 0.333 Y
0.000 0.500 0.000 Y
0.333 0.000 0.334 Y
0.667 0.000 0.666 Y
0.667 0.500 0.667 Y
0.000 0.000 0.000 Dy
```

As for the crystal system: orthorhombic. The space group is Cmmm, No. 65. Its total energy is -44.8 eV per cell. For the total magnetic moment, the calculation gives 0.00 μB per cell. The calculation puts the formation energy at -6.08 eV/f.u.

No. 12
Ca2BeIn: optimized geometry, PBE.

```
Ca2BeIn
1.0
-2.178 2.654 0.797
-1.279 -1.883 2.778
4.286 1.269 7.488
In Be Ca
1 1 2
direct
0.500 0.250 0.250 In
0.500 0.750 0.750 Be
0.000 0.032 0.968 Ca
0.000 0.468 0.532 Ca
```

As for the crystal system: monoclinic. The space group is P2/m, No. 10. Its total energy is -10.6 eV per cell. For the total magnetic moment, the calculation gives 0.00 μB per cell. The calculation puts the formation energy at -0.11 eV/f.u.

No. 13
TiCoSnIr: optimized geometry, PBE.

```
TiCoSnIr
1.0
4.073 0.000 0.000
0.000 4.073 0.000
-2.037 -2.037 3.643
Co Ir Ti Sn
1 1 1 1
direct
0.250 0.750 0.500 Co
0.750 0.250 0.500 Ir
0.000 0.000 0.000 Ti
0.500 0.500 0.000 Sn
```

As for the crystal system: tetragonal. The space group is I-4m2, No. 119. Its total energy is -29.7 eV per cell. For the total magnetic moment, the calculation gives 0.00 μB per cell. The calculation puts the formation energy at -1.79 eV/f.u.

No. 14
Ce5In3Ru2: optimized geometry, PBE.

```
Ce5In3Ru2
1.0
7.236 0.000 0.000
3.618 9.268 1.365
3.618 3.776 8.574
Ce Ru In
10 4 6
direct
0.584 0.198 0.634 Ce
0.084 0.634 0.198 Ce
0.520 0.230 0.230 Ce
0.250 0.500 0.500 Ce
0.480 0.770 0.770 Ce
0.916 0.366 0.802 Ce
0.750 0.500 0.500 Ce
0.980 0.770 0.770 Ce
0.020 0.230 0.230 Ce
0.416 0.802 0.366 Ce
0.373 0.148 0.106 Ru
0.873 0.106 0.148 Ru
0.627 0.852 0.894 Ru
0.127 0.894 0.852 Ru
0.632 0.543 0.194 In
0.750 0.000 0.000 In
0.132 0.194 0.543 In
0.868 0.806 0.457 In
0.250 0.000 0.000 In
0.368 0.457 0.806 In
```

As for the crystal system: orthorhombic. The space group is Ibam, No. 72. Its total energy is -115.1 eV per cell. For the total magnetic moment, the calculation gives 5.17 μB per cell. The calculation puts the formation energy at -1.14 eV/f.u.

No. 15
MgSe: optimized geometry, PBE.

```
MgSe
1.0
-0.339 4.753 -2.142
1.467 -1.972 -4.610
-5.689 -1.024 -1.372
Mg Se
2 2
direct
0.250 0.250 0.000 Mg
0.750 0.750 0.000 Mg
0.250 0.750 0.000 Se
0.750 0.250 0.000 Se
```

As for the crystal system: tetragonal. The space group is P4/mmm, No. 123. Its total energy is -13.7 eV per cell. For the total magnetic moment, the calculation gives 0.00 μB per cell. Its formation energy without anion corrections is -883 meV/atom.

No. 16
Pr2YTh: optimized geometry, PBE.

```
Pr2YTh
1.0
-2.632 1.868 -1.720
-3.294 -1.512 -0.491
-5.568 4.583 9.610
Pr Th Y
2 1 1
direct
0.251 0.251 0.246 Pr
0.082 0.082 0.754 Pr
0.667 0.667 0.000 Th
0.500 0.500 0.500 Y
```

As for the crystal system: trigonal. The space group is R3m, No. 160. Its total energy is -23.3 eV per cell. For the total magnetic moment, the calculation gives 0.00 μB per cell. The calculation puts the formation energy at 0.14 eV/f.u.

No. 17
CrFe2Ni5: optimized geometry, PBE.

```
CrFe2Ni5
1.0
1.019 -3.722 -3.245
2.433 -2.553 3.603
-4.759 1.520 0.723
Ni Fe Cr
5 2 1
direct
0.278 0.278 0.000 Ni
0.778 0.778 0.500 Ni
0.278 0.278 0.500 Ni
0.278 0.778 0.000 Ni
0.778 0.278 0.000 Ni
0.778 0.278 0.500 Fe
0.278 0.778 0.500 Fe
0.778 0.778 0.000 Cr
```

As for the crystal system: orthorhombic. The space group is Fmmm, No. 69. Its total energy is -55.7 eV per cell. For the total magnetic moment, the calculation gives 5.29 μB per cell. The calculation puts the formation energy at -0.24 eV/f.u.

No. 18
Si2PtW: optimized geometry, PBE.

```
Si2PtW
1.0
-0.430 -4.069 -1.625
3.577 -2.326 -1.084
1.184 -3.476 2.428
Pt Si W
1 2 1
direct
0.500 0.500 0.500 Pt
0.250 0.250 0.250 Si
0.000 0.000 0.000 Si
0.750 0.750 0.750 W
```

As for the crystal system: cubic. The space group is F-43m, No. 216. Its total energy is -28.5 eV per cell. For the total magnetic moment, the calculation gives 0.00 μB per cell. Its formation energy without anion corrections is 337 meV/atom.

No. 19
KLi2LaSb2: optimized geometry, PBE.

```
KLi2LaSb2
1.0
-1.299 -1.896 4.203
3.451 -2.071 -2.598
6.117 4.995 4.144
Li La K Sb
2 1 1 2
direct
0.667 0.333 0.236 Li
0.333 0.667 0.764 Li
0.000 0.000 0.000 La
0.000 0.000 0.500 K
0.667 0.333 0.791 Sb
0.333 0.667 0.209 Sb
```

As for the crystal system: trigonal. The space group is P-3m1, No. 164. Its total energy is -23.0 eV per cell. For the total magnetic moment, the calculation gives 0.00 μB per cell. Its formation energy without anion corrections is -821 meV/atom.

No. 20
BaCeS2O8: optimized geometry, PBE.

```
BaCeS2O8
1.0
5.334 0.000 0.000
-2.667 4.620 0.000
0.000 0.000 8.461
Ba S Ce O
1 2 1 8
direct
0.000 0.000 0.000 Ba
0.333 0.667 0.778 S
0.667 0.333 0.222 S
0.000 0.000 0.500 Ce
0.638 0.819 0.721 O
0.820 0.638 0.279 O
0.819 0.180 0.279 O
0.181 0.820 0.721 O
0.667 0.333 0.046 O
0.180 0.362 0.721 O
0.333 0.667 0.954 O
0.362 0.181 0.279 O
```

As for the crystal system: trigonal. The space group is P-3m1, No. 164. Its total energy is -80.1 eV per cell. For the total magnetic moment, the calculation gives 1.78 μB per cell. Its formation energy without anion corrections is -2031 meV/atom.

No. 21
Cs2CaIn3Bi4: optimized geometry, PBE.

```
Cs2CaIn3Bi4
1.0
-2.756 -4.062 1.794
3.784 -3.253 -1.554
6.303 1.300 12.627
In Ca Bi Cs
3 1 4 2
direct
0.000 0.500 0.133 In
0.000 0.000 0.500 In
0.500 0.000 0.867 In
0.500 0.500 0.500 Ca
0.500 0.000 0.632 Bi
0.000 0.500 0.368 Bi
0.000 0.000 0.000 Bi
0.500 0.500 0.000 Bi
0.000 0.500 0.760 Cs
0.500 0.000 0.240 Cs
```

As for the crystal system: tetragonal. The space group is P-4m2, No. 115. Its total energy is -30.8 eV per cell. For the total magnetic moment, the calculation gives 0.00 μB per cell. The calculation puts the formation energy at -3.36 eV/f.u.

No. 22
Dy6HC2Cl3: optimized geometry, PBE.

```
Dy6HC2Cl3
1.0
-5.337 3.090 -1.303
1.458 -1.370 5.978
4.585 5.325 -1.017
Dy H Cl C
6 1 3 2
direct
0.064 0.412 0.193 Dy
0.588 0.936 0.807 Dy
0.716 0.716 0.194 Dy
0.284 0.284 0.806 Dy
0.936 0.588 0.807 Dy
0.412 0.064 0.193 Dy
0.000 0.000 0.000 H
0.831 0.169 0.500 Cl
0.500 0.500 0.500 Cl
0.169 0.831 0.500 Cl
0.666 0.334 0.000 C
0.334 0.666 0.000 C
```

As for the crystal system: monoclinic. The space group is C2/m, No. 12. Its total energy is -66.3 eV per cell. For the total magnetic moment, the calculation gives 0.00 μB per cell.

No. 23
IrRu2Pb: optimized geometry, PBE.

```
IrRu2Pb
1.0
-2.560 -2.971 -4.096
-0.060 -5.670 0.002
-1.345 4.951 2.415
Ru Ir Pb
2 1 1
direct
0.752 0.252 0.500 Ru
0.978 0.978 0.000 Ru
0.520 0.520 0.000 Ir
0.251 0.751 0.500 Pb
```

As for the crystal system: orthorhombic. The space group is Imm2, No. 44. Its total energy is -28.7 eV per cell. For the total magnetic moment, the calculation gives 0.00 μB per cell. The calculation puts the formation energy at 2.44 eV/f.u.

No. 24
Sc2MnAu: optimized geometry, PBE.

```
Sc2MnAu
1.0
-3.150 -1.074 -1.369
-0.265 -2.502 2.572
-2.901 3.970 3.563
Mn Sc Au
1 2 1
direct
0.500 0.500 0.768 Mn
0.000 0.000 0.958 Sc
0.500 0.500 0.283 Sc
0.000 0.000 0.491 Au
```

As for the crystal system: tetragonal. The space group is P4mm, No. 99. Its total energy is -25.9 eV per cell. For the total magnetic moment, the calculation gives 2.85 μB per cell. The calculation puts the formation energy at -0.81 eV/f.u.

No. 25
Li5SiHg: optimized geometry, PBE.

```
Li5SiHg
1.0
-1.285 -2.759 2.962
-1.775 -2.408 -3.014
5.963 -3.524 -0.696
Li Hg Si
5 1 1
direct
0.500 0.000 0.267 Li
0.000 0.000 0.500 Li
0.500 0.000 0.733 Li
0.000 0.500 0.267 Li
0.000 0.500 0.733 Li
0.000 0.000 0.000 Hg
0.500 0.500 0.500 Si
```

As for the crystal system: tetragonal. The space group is P4/mmm, No. 123. Its total energy is -16.4 eV per cell. For the total magnetic moment, the calculation gives 0.00 μB per cell. Its formation energy without anion corrections is -161 meV/atom.